(1)
## HfVPt (PBE)

Data for a geometry-optimized HfVPt structure.

Summary:
Formation enthalpy at 0 K in eV/atom: -0.0970

Unit cell a=5.2171 b=8.2537 c=19.0072 alpha=90.00 beta=90.00 gamma=90.00
With the nearest neighbours (Å) after each atom.
Space group Fddd (No. 70, origin choice 2)
Inequivalent atoms, fractional coordinates:
1 Hf 0.1250 0.3114 0.1250 [16 per cell]  4 V 2.77-2.82, 3 Hf 2.81-3.08, 2 Pt 2.94
2 V 0.1250 0.1250 0.0008 [16 per cell]  2 V 2.44, 2 Pt 2.64
3 Pt 0.1250 0.1250 0.5520 [16 per cell]  4 V 2.64-2.78, 1 Pt 2.77, 2 Hf 2.94

=====

(2)
## Hf2VPt2 (PBE)

Data for a geometry-optimized Hf2VPt2 structure.

Summary:
Formation enthalpy at 0 K in eV/atom: -0.4895

Unit cell a=7.6347 b=7.6347 c=3.1981 alpha=90.00 beta=90.00 gamma=90.00
With the nearest neighbours (Å) after each atom.
Space group P4/mbm (No. 127)
Inequivalent atoms, fractional coordinates:
1 Hf 0.1621 0.3379 0.0000 [4 per cell]  6 Pt 2.69-2.80, 2 V 2.86
2 V 0.0000 0.0000 0.0000 [2 per cell]  4 Hf 2.86, 2 V 3.20
3 Pt 0.1377 0.6377 0.5000 [4 per cell]  6 Hf 2.69-2.80, 1 Pt 2.97

=====

(3)
## HfVPt2 (PBE)

Data for a geometry-optimized HfVPt2 structure.

Summary:
Formation enthalpy at 0 K in eV/atom: -0.7542

Unit cell a=4.0390 b=4.0390 c=3.9757 alpha=90.00 beta=90.00 gamma=90.00
With the nearest neighbours (Å) after each atom.
Space group P4/mmm (No. 123)
Inequivalent atoms, fractional coordinates:
1 Hf 0.0000 0.0000 0.0000 [1 per cell]  8 Pt 2.83, 4 V 2.86
2 V 0.5000 0.5000 0.0000 [1 per cell]  8 Pt 2.83, 4 Hf 2.86
3 Pt 0.0000 0.5000 0.5000 [2 per cell]  4 Hf 2.83, 4 V 2.83, 4 Pt 2.86

=====

no.,mass density (Mg/m³)
1,13.8
2,14.2
3,15.9